1.
# YPtI2N

Crystalline YPtI2N at its relaxed geometry (GGA-PBE, Alexandria via LeMat-Bulk).

Cell: 5.9757 5.9757 3.7219 Å, 90.00 90.00 90.00°
Fractional positions:
Y  0.0000  0.0000  0.0000
Pt  0.5000  0.5000  0.5000
I  0.0000  0.5000  0.5000
I  0.5000  0.0000  0.5000
N  0.5000  0.5000  0.0000

Summary:
Symmetry = P4/mmm (123)

***

2.
# YPtIN2

Crystalline YPtIN2 at its relaxed geometry (GGA-PBE, Alexandria via LeMat-Bulk).

Cell: 4.3437 4.3437 6.4064 Å, 90.00 90.00 90.00°
Fractional positions:
Y  0.0000  0.0000  0.0000
Pt  0.5000  0.5000  0.5000
I  0.0000  0.0000  0.5000
N  0.0000  0.5000  0.0000
N  0.5000  0.0000  0.0000

Summary:
Symmetry = P4/mmm (123)

***

3.
# ZnPtI2N

Crystalline ZnPtI2N at its relaxed geometry (GGA-PBE, Alexandria via LeMat-Bulk).

Cell: 5.6708 5.6708 3.6803 Å, 90.00 90.00 90.00°
Fractional positions:
Zn  0.0000  0.0000  0.0000
Pt  0.5000  0.5000  0.5000
I  0.0000  0.5000  0.0000
I  0.5000  0.0000  0.0000
N  0.0000  0.0000  0.5000

Summary:
Symmetry = P4/mmm (123)

***

Number 1: total moment 0.00 μB/atom, polymorph energy (0 for the lowest one) 0.00 kcal/mol of atoms, uncorrected energy -4.65 eV/atom. Number 2: total moment 0.72 μB/atom, polymorph energy (0 for the lowest one) 3.47 kcal/mol of atoms, uncorrected energy -5.06 eV/atom. Number 3: total moment 0.42 μB/atom, polymorph energy (0 for the lowest one) 12.96 kcal/mol of atoms, uncorrected energy -2.68 eV/atom.